Entry 1:
# PBE-GGA Ta4Ga2Pt, relaxed
data_Ta4Ga2Pt
_chemical_formula_sum 'Ta8 Ga4 Pt2'
_space_group_name_H-M_alt 'I 4/m m m'
_space_group_IT_number 139
_space_group_name_Hall '-I 4 2'
_cell_length_a 4.9424
_cell_length_b 4.9424
_cell_length_c 12.6555
_cell_angle_alpha 90.00
_cell_angle_beta 90.00
_cell_angle_gamma 90.00
loop_
_atom_site_label
_atom_site_type_symbol
_atom_site_fract_x
_atom_site_fract_y
_atom_site_fract_z
_atom_site_occupancy
Ta1 Ta 0.0000 0.0000 0.1992 1
Ta2 Ta 0.0000 0.5000 0.0000 1
Ga1 Ga 0.0000 0.0000 0.3983 1
Pt1 Pt 0.0000 0.0000 0.0000 1
# DFT formation energy = 1101 meV per atom
# M_tot = 0.00 μB/f.u.
# DOS(E_F) = 7.7 states/eV/f.u.
# V = 22.082 Å³ per atom

Entry 2:
# PBE-GGA TaGaPt3, relaxed
data_TaGaPt3
_chemical_formula_sum 'Ta1 Ga1 Pt3'
_space_group_name_H-M_alt 'P m -3 m'
_space_group_IT_number 221
_space_group_name_Hall '-P 4 2 3'
_cell_length_a 4.5745
_cell_length_b 4.5745
_cell_length_c 4.5745
_cell_angle_alpha 90.00
_cell_angle_beta 90.00
_cell_angle_gamma 90.00
loop_
_atom_site_label
_atom_site_type_symbol
_atom_site_fract_x
_atom_site_fract_y
_atom_site_fract_z
_atom_site_occupancy
Ta1 Ta 0.0000 0.0000 0.0000 1
Ga1 Ga 0.5000 0.5000 0.5000 1
Pt1 Pt 0.0000 0.5000 0.5000 1
# DFT formation energy = 657 meV per atom
# M_tot = 0.00 μB/f.u.
# DOS(E_F) = 6.5 states/eV/f.u.
# V = 19.145 Å³ per atom
# ΔE to the lowest computed polymorph = 0.0 kJ per mole of atoms

Entry 3:
# PBE-GGA TaGa2Pt, relaxed
data_TaGa2Pt
_chemical_formula_sum 'Ta1 Ga2 Pt1'
_space_group_name_H-M_alt 'P 4/m m m'
_space_group_IT_number 123
_space_group_name_Hall '-P 4 2'
_cell_length_a 2.9133
_cell_length_b 2.9133
_cell_length_c 7.5086
_cell_angle_alpha 90.00
_cell_angle_beta 90.00
_cell_angle_gamma 90.00
loop_
_atom_site_label
_atom_site_type_symbol
_atom_site_fract_x
_atom_site_fract_y
_atom_site_fract_z
_atom_site_occupancy
Ta1 Ta 0.0000 0.0000 0.0000 1
Ga1 Ga 0.5000 0.5000 0.2654 1
Pt1 Pt 0.0000 0.0000 0.5000 1
# DFT formation energy = -314 meV per atom
# M_tot = 0.00 μB/f.u.
# DOS(E_F) = 1.6 states/eV/f.u.
# V = 15.932 Å³ per atom

Entry 4:
# PBE-GGA TaGaPt3, relaxed
data_TaGaPt3
_chemical_formula_sum 'Ta1 Ga1 Pt3'
_space_group_name_H-M_alt 'P m -3 m'
_space_group_IT_number 221
_space_group_name_Hall '-P 4 2 3'
_cell_length_a 4.9319
_cell_length_b 4.9319
_cell_length_c 4.9319
_cell_angle_alpha 90.00
_cell_angle_beta 90.00
_cell_angle_gamma 90.00
loop_
_atom_site_label
_atom_site_type_symbol
_atom_site_fract_x
_atom_site_fract_y
_atom_site_fract_z
_atom_site_occupancy
Ta1 Ta 0.0000 0.0000 0.0000 1
Ga1 Ga 0.5000 0.5000 0.5000 1
Pt1 Pt 0.0000 0.0000 0.5000 1
# DFT formation energy = 770 meV per atom
# M_tot = 0.00 μB/f.u.
# DOS(E_F) = 3.9 states/eV/f.u.
# V = 23.992 Å³ per atom
# ΔE to the lowest computed polymorph = 10.9 kJ per mole of atoms

Entry 5:
# PBE-GGA TaGa2Pt, relaxed
data_TaGa2Pt
_chemical_formula_sum 'Ta1 Ga2 Pt1'
_space_group_name_H-M_alt 'P 4/m m m'
_space_group_IT_number 123
_space_group_name_Hall '-P 4 2'
_cell_length_a 4.0846
_cell_length_b 4.0846
_cell_length_c 3.8196
_cell_angle_alpha 90.00
_cell_angle_beta 90.00
_cell_angle_gamma 90.00
loop_
_atom_site_label
_atom_site_type_symbol
_atom_site_fract_x
_atom_site_fract_y
_atom_site_fract_z
_atom_site_occupancy
Ta1 Ta 0.0000 0.0000 0.0000 1
Ga1 Ga 0.0000 0.5000 0.5000 1
Pt1 Pt 0.5000 0.5000 0.0000 1
# DFT formation energy = -364 meV per atom
# M_tot = 0.00 μB/f.u.
# DOS(E_F) = 2.5 states/eV/f.u.
# V = 15.932 Å³ per atom

Entry 6:
# PBE-GGA TaGaPt, relaxed
data_TaGaPt
_chemical_formula_sum 'Ta1 Ga1 Pt1'
_space_group_name_H-M_alt 'P -6 m 2'
_space_group_IT_number 187
_space_group_name_Hall 'P -6 2'
_cell_length_a 4.3853
_cell_length_b 4.3853
_cell_length_c 2.8927
_cell_angle_alpha 90.00
_cell_angle_beta 90.00
_cell_angle_gamma 120.00
loop_
_atom_site_label
_atom_site_type_symbol
_atom_site_fract_x
_atom_site_fract_y
_atom_site_fract_z
_atom_site_occupancy
Ta1 Ta 0.0000 0.0000 0.0000 1
Ga1 Ga 0.3333 0.6667 0.5000 1
Pt1 Pt 0.6667 0.3333 0.5000 1
# DFT formation energy = -516 meV per atom
# M_tot = 0.00 μB/f.u.
# DOS(E_F) = 2.2 states/eV/f.u.
# V = 16.059 Å³ per atom

Entry 7:
# PBE-GGA Ta2Ga2Pt, relaxed
data_Ta2Ga2Pt
_chemical_formula_sum 'Ta4 Ga4 Pt2'
_space_group_name_H-M_alt 'P 4/m b m'
_space_group_IT_number 127
_space_group_name_Hall '-P 4 2ab'
_cell_length_a 6.3649
_cell_length_b 6.3649
_cell_length_c 4.0674
_cell_angle_alpha 90.00
_cell_angle_beta 90.00
_cell_angle_gamma 90.00
loop_
_atom_site_label
_atom_site_type_symbol
_atom_site_fract_x
_atom_site_fract_y
_atom_site_fract_z
_atom_site_occupancy
Ta1 Ta 0.1607 0.3393 0.0000 1
Ga1 Ga 0.1368 0.6368 0.5000 1
Pt1 Pt 0.0000 0.0000 0.5000 1
# DFT formation energy = -303 meV per atom
# M_tot = 0.00 μB/f.u.
# DOS(E_F) = 3.5 states/eV/f.u.
# V = 16.478 Å³ per atom

Entry 8:
# PBE-GGA TaGaPt2, relaxed
data_TaGaPt2
_chemical_formula_sum 'Ta3 Ga3 Pt6'
_space_group_name_H-M_alt 'R 3 m'
_space_group_IT_number 160
_space_group_name_Hall 'R 3 -2"'
_cell_length_a 3.5765
_cell_length_b 3.5765
_cell_length_c 19.7421
_cell_angle_alpha 90.00
_cell_angle_beta 90.00
_cell_angle_gamma 120.00
loop_
_atom_site_label
_atom_site_type_symbol
_atom_site_fract_x
_atom_site_fract_y
_atom_site_fract_z
_atom_site_occupancy
Ta1 Ta 0.0000 0.0000 0.0000 1
Ga1 Ga 0.0000 0.0000 0.8341 1
Pt1 Pt 0.0000 0.0000 0.4184 1
Pt2 Pt 0.0000 0.0000 0.5817 1
# DFT formation energy = -390 meV per atom
# M_tot = 0.00 μB/f.u.
# DOS(E_F) = 1.7 states/eV/f.u.
# V = 18.224 Å³ per atom

Entry 9:
# PBE-GGA TaGaPt2, relaxed
data_TaGaPt2
_chemical_formula_sum 'Ta1 Ga1 Pt2'
_space_group_name_H-M_alt 'P 4/m m m'
_space_group_IT_number 123
_space_group_name_Hall '-P 4 2'
_cell_length_a 2.8924
_cell_length_b 2.8924
_cell_length_c 7.6045
_cell_angle_alpha 90.00
_cell_angle_beta 90.00
_cell_angle_gamma 90.00
loop_
_atom_site_label
_atom_site_type_symbol
_atom_site_fract_x
_atom_site_fract_y
_atom_site_fract_z
_atom_site_occupancy
Ta1 Ta 0.0000 0.0000 0.0000 1
Ga1 Ga 0.0000 0.0000 0.5000 1
Pt1 Pt 0.5000 0.5000 0.2577 1
# DFT formation energy = -590 meV per atom
# M_tot = 0.00 μB/f.u.
# DOS(E_F) = 2.7 states/eV/f.u.
# V = 15.905 Å³ per atom

Entry 10:
# PBE-GGA TaGaPt2, relaxed
data_TaGaPt2
_chemical_formula_sum 'Ta4 Ga4 Pt8'
_space_group_name_H-M_alt 'I -4 2 d'
_space_group_IT_number 122
_space_group_name_Hall 'I -4 2bw'
_cell_length_a 5.7884
_cell_length_b 5.7884
_cell_length_c 11.2073
_cell_angle_alpha 90.00
_cell_angle_beta 90.00
_cell_angle_gamma 90.00
loop_
_atom_site_label
_atom_site_type_symbol
_atom_site_fract_x
_atom_site_fract_y
_atom_site_fract_z
_atom_site_occupancy
Ta1 Ta 0.0000 0.0000 0.0000 1
Ga1 Ga 0.0000 0.0000 0.5000 1
Pt1 Pt 0.2415 0.2500 0.6250 1
# DFT formation energy = 24 meV per atom
# M_tot = 0.00 μB/f.u.
# DOS(E_F) = 2.3 states/eV/f.u.
# V = 23.469 Å³ per atom

Entry 11:
# PBE-GGA TaGaPt, relaxed
data_TaGaPt
_chemical_formula_sum 'Ta4 Ga4 Pt4'
_space_group_name_H-M_alt 'F -4 3 m'
_space_group_IT_number 216
_space_group_name_Hall 'F -4 2 3'
_cell_length_a 6.1426
_cell_length_b 6.1426
_cell_length_c 6.1426
_cell_angle_alpha 90.00
_cell_angle_beta 90.00
_cell_angle_gamma 90.00
loop_
_atom_site_label
_atom_site_type_symbol
_atom_site_fract_x
_atom_site_fract_y
_atom_site_fract_z
_atom_site_occupancy
Ta1 Ta 0.0000 0.0000 0.0000 1
Ga1 Ga 0.2500 0.2500 0.7500 1
Pt1 Pt 0.2500 0.2500 0.2500 1
# DFT formation energy = -53 meV per atom
# M_tot = 0.00 μB/f.u.
# DOS(E_F) = 2.6 states/eV/f.u.
# V = 19.314 Å³ per atom

Entry 12:
# PBE-GGA TaGaPt, relaxed
data_TaGaPt
_chemical_formula_sum 'Ta2 Ga2 Pt2'
_space_group_name_H-M_alt 'P 1 21/m 1'
_space_group_IT_number 11
_space_group_name_Hall '-P 2yb'
_cell_length_a 4.3429
_cell_length_b 2.9737
_cell_length_c 7.6767
_cell_angle_alpha 90.00
_cell_angle_beta 93.59
_cell_angle_gamma 90.00
loop_
_atom_site_label
_atom_site_type_symbol
_atom_site_fract_x
_atom_site_fract_y
_atom_site_fract_z
_atom_site_occupancy
Ta1 Ta 0.2208 0.2500 0.1050 1
Ga1 Ga 0.2447 0.7500 0.4479 1
Pt1 Pt 0.2747 0.2500 0.7442 1
# DFT formation energy = -407 meV per atom
# M_tot = 0.00 μB/f.u.
# DOS(E_F) = 1.4 states/eV/f.u.
# V = 16.491 Å³ per atom

Entry 13:
# PBE-GGA TaGa2Pt, relaxed
data_TaGa2Pt
_chemical_formula_sum 'Ta3 Ga6 Pt3'
_space_group_name_H-M_alt 'R 3 m'
_space_group_IT_number 160
_space_group_name_Hall 'R 3 -2"'
_cell_length_a 2.9701
_cell_length_b 2.9701
_cell_length_c 25.7401
_cell_angle_alpha 90.00
_cell_angle_beta 90.00
_cell_angle_gamma 120.00
loop_
_atom_site_label
_atom_site_type_symbol
_atom_site_fract_x
_atom_site_fract_y
_atom_site_fract_z
_atom_site_occupancy
Ta1 Ta 0.0000 0.0000 0.0000 1
Ga1 Ga 0.0000 0.0000 0.5785 1
Ga2 Ga 0.0000 0.0000 0.7536 1
Pt1 Pt 0.0000 0.0000 0.1653 1
# DFT formation energy = -288 meV per atom
# M_tot = 0.00 μB/f.u.
# DOS(E_F) = 3.1 states/eV/f.u.
# V = 16.387 Å³ per atom